Ag2GeF7: optimized geometry, PBE.

POSCAR file:
```
Ag2GeF7
1.0
4.915 -4.010 0.000
4.915 4.010 0.000
-4.572 0.000 9.181
Ag Ge F
4 2 14
Direct
0.141 0.736 0.908
0.264 0.859 0.592
0.736 0.141 0.408
0.859 0.264 0.092
0.227 0.773 0.250
0.773 0.227 0.750
0.003 0.119 0.895
0.026 0.601 0.246
0.119 0.003 0.395
0.289 0.711 0.750
0.314 0.561 0.103
0.399 0.974 0.254
0.439 0.686 0.397
0.561 0.314 0.603
0.601 0.026 0.746
0.686 0.439 0.897
0.711 0.289 0.250
0.881 0.997 0.605
0.974 0.399 0.754
0.997 0.881 0.105
```

Calculated values
The symmetry is C2/c. For the density of states at the Fermi level, the calculation gives 0.71 states/eV per cell. Its uncorrected formation energy is -40.19 kcal/mol of atoms.